First-principles (PBE-GGA) data for OsN after structural relaxation, as listed in OQMD via LeMat-Bulk.

Results
**Calculated total energy**: -8.4695 eV per atom
**Polymorph energy (0 for the lowest one)**: 15.61 kcal/mol of atoms
**Theoretical density**: 16.60 g/cm3
**Spin magnetization**: 0.012 μB per atom

a = 2.7456 Å, b = 2.7456 Å, c = 3.1290 Å
α = 90.00°, β = 90.00°, γ = 120.00°
Closest atoms and distances in Å follow each position.
Space group P-6m2 (No. 187)
One atom of each set of equivalent atoms:
Os (0.0000, 0.0000, 0.0000) [1 per cell]  6 N 2.23
N (0.3333, 0.6667, 0.5000) [1 per cell]  6 Os 2.23